The following is a DFT calculation (PBE-GGA) of an optimized crystal structure of K2TmCl5.

CIF file:
```
data_K2TmCl5
_cell_length_a 8.065
_cell_length_b 8.544
_cell_length_c 12.901
_cell_angle_alpha 90.00
_cell_angle_beta 90.00
_cell_angle_gamma 90.00
_symmetry_space_group_name_H-M 'P 1'
_symmetry_Int_Tables_number 1
_symmetry_space_group_name_Hall 'P 1'
loop_
_atom_site_label
_atom_site_type_symbol
_atom_site_fract_x
_atom_site_fract_y
_atom_site_fract_z
_atom_site_occupancy
Cl1 Cl 0.338 0.544 0.568 1
Cl2 Cl 0.662 0.044 0.432 1
Cl3 Cl 0.594 0.750 0.987 1
Cl4 Cl 0.150 0.250 0.806 1
Cl5 Cl 0.350 0.250 0.306 1
Cl6 Cl 0.650 0.750 0.694 1
Cl7 Cl 0.107 0.750 0.823 1
Cl8 Cl 0.850 0.750 0.194 1
Cl9 Cl 0.393 0.750 0.323 1
Cl10 Cl 0.338 0.956 0.568 1
Cl11 Cl 0.838 0.456 0.932 1
Cl12 Cl 0.162 0.956 0.068 1
Cl13 Cl 0.607 0.250 0.677 1
Cl14 Cl 0.906 0.750 0.487 1
Cl15 Cl 0.838 0.044 0.932 1
Cl16 Cl 0.406 0.250 0.013 1
Cl17 Cl 0.893 0.250 0.177 1
Cl18 Cl 0.662 0.456 0.432 1
Cl19 Cl 0.162 0.544 0.068 1
Cl20 Cl 0.094 0.250 0.513 1
K1 K 0.439 0.505 0.829 1
K2 K 0.561 0.005 0.171 1
K3 K 0.939 0.495 0.671 1
K4 K 0.939 0.005 0.671 1
K5 K 0.439 0.995 0.829 1
K6 K 0.561 0.495 0.171 1
K7 K 0.061 0.995 0.329 1
K8 K 0.061 0.505 0.329 1
Tm1 Tm 0.928 0.750 0.995 1
Tm2 Tm 0.572 0.750 0.495 1
Tm3 Tm 0.428 0.250 0.505 1
Tm4 Tm 0.072 0.250 0.005 1
```

- total energy (eV/atom) = -4.14
- formation energy from raw total energies (meV per atom) = -2153



The following is a DFT calculation (PBE-GGA) of an optimized crystal structure of KTmCl4.

CIF file:
```
data_KTmCl4
_cell_length_a 6.762
_cell_length_b 8.171
_cell_length_c 9.538
_cell_angle_alpha 106.10
_cell_angle_beta 99.90
_cell_angle_gamma 115.22
_symmetry_space_group_name_H-M 'P 1'
_symmetry_Int_Tables_number 1
_symmetry_space_group_name_Hall 'P 1'
loop_
_atom_site_label
_atom_site_type_symbol
_atom_site_fract_x
_atom_site_fract_y
_atom_site_fract_z
_atom_site_occupancy
Cl1 Cl 0.071 0.239 0.094 1
Cl2 Cl 0.193 0.943 0.337 1
Cl3 Cl 0.929 0.761 0.906 1
Cl4 Cl 0.476 0.145 0.906 1
Cl5 Cl 0.645 0.394 0.337 1
Cl6 Cl 0.807 0.057 0.663 1
Cl7 Cl 0.524 0.855 0.094 1
Cl8 Cl 0.355 0.606 0.663 1
Tm1 Tm 0.317 0.067 0.134 1
Tm2 Tm 0.683 0.933 0.866 1
K1 K 0.430 0.680 0.359 1
K2 K 0.570 0.320 0.641 1
```

- total energy (eV/atom) = -4.37
- formation energy from raw total energies (meV per atom) = -2206
- excess energy over the best structure of this formula in the dataset (eV/atom) = 0.0000



The following is a DFT calculation (PBE-GGA) of an optimized crystal structure of KTmVCl6.

CIF file:
```
data_KTmVCl6
_cell_length_a 6.597
_cell_length_b 6.597
_cell_length_c 14.205
_cell_angle_alpha 90.00
_cell_angle_beta 90.00
_cell_angle_gamma 120.00
_symmetry_space_group_name_H-M 'P 1'
_symmetry_Int_Tables_number 1
_symmetry_space_group_name_Hall 'P 1'
loop_
_atom_site_label
_atom_site_type_symbol
_atom_site_fract_x
_atom_site_fract_y
_atom_site_fract_z
_atom_site_occupancy
Cl1 Cl 0.986 0.359 0.647 1
Cl2 Cl 0.372 0.359 0.853 1
Cl3 Cl 0.014 0.372 0.147 1
Cl4 Cl 0.986 0.628 0.853 1
Cl5 Cl 0.628 0.641 0.147 1
Cl6 Cl 0.372 0.014 0.647 1
Cl7 Cl 0.359 0.986 0.147 1
Cl8 Cl 0.014 0.641 0.353 1
Cl9 Cl 0.641 0.628 0.647 1
Cl10 Cl 0.359 0.372 0.353 1
Cl11 Cl 0.628 0.986 0.353 1
Cl12 Cl 0.641 0.014 0.853 1
K1 K 0.000 0.000 0.000 1
K2 K 0.000 0.000 0.500 1
V1 V 0.667 0.333 0.750 1
V2 V 0.333 0.667 0.250 1
Tm1 Tm 0.333 0.667 0.750 1
Tm2 Tm 0.667 0.333 0.250 1
```

- total energy (eV/atom) = -4.72
- formation energy from raw total energies (meV per atom) = -1858



The following is a DFT calculation (PBE-GGA) of an optimized crystal structure of KTmZnCl6.

CIF file:
```
data_KTmZnCl6
_cell_length_a 6.660
_cell_length_b 6.660
_cell_length_c 13.973
_cell_angle_alpha 90.00
_cell_angle_beta 90.00
_cell_angle_gamma 120.00
_symmetry_space_group_name_H-M 'P 1'
_symmetry_Int_Tables_number 1
_symmetry_space_group_name_Hall 'P 1'
loop_
_atom_site_label
_atom_site_type_symbol
_atom_site_fract_x
_atom_site_fract_y
_atom_site_fract_z
_atom_site_occupancy
Cl1 Cl 0.379 0.013 0.145 1
Cl2 Cl 0.634 0.013 0.355 1
Cl3 Cl 0.013 0.634 0.855 1
Cl4 Cl 0.621 0.634 0.645 1
Cl5 Cl 0.379 0.366 0.355 1
Cl6 Cl 0.366 0.379 0.855 1
Cl7 Cl 0.634 0.621 0.145 1
Cl8 Cl 0.013 0.379 0.645 1
Cl9 Cl 0.621 0.987 0.855 1
Cl10 Cl 0.987 0.621 0.355 1
Cl11 Cl 0.987 0.366 0.145 1
Cl12 Cl 0.366 0.987 0.645 1
Zn1 Zn 0.667 0.333 0.250 1
Zn2 Zn 0.333 0.667 0.750 1
Tm1 Tm 0.667 0.333 0.750 1
Tm2 Tm 0.333 0.667 0.250 1
K1 K 0.000 0.000 0.500 1
K2 K 0.000 0.000 0.000 1
```

- total energy (eV/atom) = -3.82
- formation energy from raw total energies (meV per atom) = -1832



The following is a DFT calculation (PBE-GGA) of an optimized crystal structure of K3UCl7.

CIF file:
```
data_K3UCl7
_cell_length_a 7.413
_cell_length_b 7.413
_cell_length_c 8.148
_cell_angle_alpha 64.80
_cell_angle_beta 64.80
_cell_angle_gamma 87.18
_symmetry_space_group_name_H-M 'P 1'
_symmetry_Int_Tables_number 1
_symmetry_space_group_name_Hall 'P 1'
loop_
_atom_site_label
_atom_site_type_symbol
_atom_site_fract_x
_atom_site_fract_y
_atom_site_fract_z
_atom_site_occupancy
K1 K 0.234 0.775 0.485 1
K2 K 0.775 0.234 0.485 1
K3 K 0.500 0.500 0.920 1
Cl1 Cl 0.809 0.809 0.862 1
Cl2 Cl 0.653 0.653 0.417 1
Cl3 Cl 0.132 0.132 0.166 1
Cl4 Cl 0.132 0.637 0.202 1
Cl5 Cl 0.637 0.132 0.202 1
Cl6 Cl 0.314 0.987 0.736 1
Cl7 Cl 0.987 0.314 0.736 1
U1 U 0.952 0.952 0.040 1
```

- total energy (eV/atom) = -4.36
- formation energy from raw total energies (meV per atom) = -1863



The following is a DFT calculation (PBE-GGA) of an optimized crystal structure of KUCl6.

CIF file:
```
data_KUCl6
_cell_length_a 6.977
_cell_length_b 7.576
_cell_length_c 6.943
_cell_angle_alpha 56.93
_cell_angle_beta 82.30
_cell_angle_gamma 75.78
_symmetry_space_group_name_H-M 'P 1'
_symmetry_Int_Tables_number 1
_symmetry_space_group_name_Hall 'P 1'
loop_
_atom_site_label
_atom_site_type_symbol
_atom_site_fract_x
_atom_site_fract_y
_atom_site_fract_z
_atom_site_occupancy
Cl1 Cl 0.268 0.825 0.694 1
Cl2 Cl 0.732 0.481 0.694 1
Cl3 Cl 0.732 0.175 0.306 1
Cl4 Cl 0.268 0.519 0.306 1
Cl5 Cl 0.316 0.250 0.000 1
Cl6 Cl 0.684 0.750 0.000 1
U1 U 0.500 0.500 0.000 1
K1 K 0.000 0.000 0.000 1
```

- total energy (eV/atom) = -4.70
- formation energy from raw total energies (meV per atom) = -1768
- excess energy over the best structure of this formula in the dataset (eV/atom) = 0.0000



The following is a DFT calculation (PBE-GGA) of an optimized crystal structure of K3UCl8.

CIF file:
```
data_K3UCl8
_cell_length_a 7.155
_cell_length_b 7.155
_cell_length_c 7.155
_cell_angle_alpha 90.00
_cell_angle_beta 90.00
_cell_angle_gamma 90.00
_symmetry_space_group_name_H-M 'P 1'
_symmetry_Int_Tables_number 1
_symmetry_space_group_name_Hall 'P 1'
loop_
_atom_site_label
_atom_site_type_symbol
_atom_site_fract_x
_atom_site_fract_y
_atom_site_fract_z
_atom_site_occupancy
Cl1 Cl 0.220 0.220 0.780 1
Cl2 Cl 0.220 0.220 0.220 1
Cl3 Cl 0.780 0.220 0.780 1
Cl4 Cl 0.220 0.780 0.780 1
Cl5 Cl 0.780 0.780 0.780 1
Cl6 Cl 0.780 0.780 0.220 1
Cl7 Cl 0.220 0.780 0.220 1
Cl8 Cl 0.780 0.220 0.220 1
U1 U 0.000 0.000 0.000 1
K1 K 0.000 0.500 0.500 1
K2 K 0.500 0.500 0.000 1
K3 K 0.500 0.000 0.500 1
```

- total energy (eV/atom) = -4.18
- formation energy from raw total energies (meV per atom) = -1729



The following is a DFT calculation (PBE-GGA) of an optimized crystal structure of K2UCl6.

CIF file:
```
data_K2UCl6
_cell_length_a 7.497
_cell_length_b 8.033
_cell_length_c 10.642
_cell_angle_alpha 90.00
_cell_angle_beta 96.01
_cell_angle_gamma 90.00
_symmetry_space_group_name_H-M 'P 1'
_symmetry_Int_Tables_number 1
_symmetry_space_group_name_Hall 'P 1'
loop_
_atom_site_label
_atom_site_type_symbol
_atom_site_fract_x
_atom_site_fract_y
_atom_site_fract_z
_atom_site_occupancy
Cl1 Cl 0.141 0.058 0.732 1
Cl2 Cl 0.641 0.442 0.232 1
Cl3 Cl 0.785 0.673 0.951 1
Cl4 Cl 0.215 0.327 0.049 1
Cl5 Cl 0.843 0.730 0.576 1
Cl6 Cl 0.285 0.827 0.451 1
Cl7 Cl 0.859 0.942 0.268 1
Cl8 Cl 0.657 0.230 0.924 1
Cl9 Cl 0.359 0.558 0.768 1
Cl10 Cl 0.157 0.270 0.424 1
Cl11 Cl 0.715 0.173 0.549 1
Cl12 Cl 0.343 0.770 0.076 1
U1 U 0.000 0.000 0.500 1
U2 U 0.500 0.500 0.000 1
K1 K 0.543 0.916 0.737 1
K2 K 0.043 0.584 0.237 1
K3 K 0.457 0.084 0.263 1
K4 K 0.957 0.416 0.763 1
```

- total energy (eV/atom) = -4.62
- formation energy from raw total energies (meV per atom) = -1889



The following is a DFT calculation (PBE-GGA) of an optimized crystal structure of K6UCl12.

CIF file:
```
data_K6UCl12
_cell_length_a 9.168
_cell_length_b 9.168
_cell_length_c 9.168
_cell_angle_alpha 97.50
_cell_angle_beta 97.50
_cell_angle_gamma 97.50
_symmetry_space_group_name_H-M 'P 1'
_symmetry_Int_Tables_number 1
_symmetry_space_group_name_Hall 'P 1'
loop_
_atom_site_label
_atom_site_type_symbol
_atom_site_fract_x
_atom_site_fract_y
_atom_site_fract_z
_atom_site_occupancy
Cl1 Cl 0.598 0.834 0.391 1
Cl2 Cl 0.977 0.072 0.267 1
Cl3 Cl 0.834 0.391 0.598 1
Cl4 Cl 0.609 0.402 0.166 1
Cl5 Cl 0.072 0.267 0.977 1
Cl6 Cl 0.928 0.733 0.023 1
Cl7 Cl 0.733 0.023 0.928 1
Cl8 Cl 0.402 0.166 0.609 1
Cl9 Cl 0.166 0.609 0.402 1
Cl10 Cl 0.391 0.598 0.834 1
Cl11 Cl 0.267 0.977 0.072 1
Cl12 Cl 0.023 0.928 0.733 1
K1 K 0.370 0.610 0.165 1
K2 K 0.390 0.835 0.630 1
K3 K 0.630 0.390 0.835 1
K4 K 0.835 0.630 0.390 1
K5 K 0.610 0.165 0.370 1
K6 K 0.165 0.370 0.610 1
U1 U 0.000 0.000 0.000 1
```

- total energy (eV/atom) = -3.82
- formation energy from raw total energies (meV per atom) = -1718